1.
VASP calculation (PBE-GGA) on an optimized crystal structure of SnBiRh3.

Values from the calculation:
- size of the total moment (Bohr magnetons per cell) = 0.000
- offset from the most stable computed form (meV/atom) = 0
- energy of formation from the pure elements (eV/atom) = 0.748

Cell lengths 4.869, 4.869, 4.869 Å; angles 90.00, 90.00, 90.00 degrees
Fractional coordinates of all 5 atoms:
Sn: 0.000 0.000 0.000
Bi: 0.500 0.500 0.500
Rh: 0.000 0.500 0.000
Rh: 0.000 0.000 0.500
Rh: 0.500 0.000 0.000

2.
VASP calculation (PBE-GGA) on an optimized crystal structure of SnBiRh2.

Values from the calculation:
- size of the total moment (Bohr magnetons per cell) = 0.000
- energy of formation from the pure elements (eV/atom) = 0.207

Cell lengths 6.127, 6.127, 7.228 Å; angles 64.92, 64.92, 90.00 degrees
Fractional coordinates of all 8 atoms:
Rh: 0.875 0.867 0.750
Rh: 0.375 0.383 0.750
Rh: 0.133 0.625 0.250
Rh: 0.617 0.125 0.250
Sn: 0.500 0.500 0.000
Sn: 0.250 0.750 0.500
Bi: 0.750 0.250 0.500
Bi: 0.000 0.000 0.000

3.
VASP calculation (PBE-GGA) on an optimized crystal structure of SnBi3Rh.

Values from the calculation:
- size of the total moment (Bohr magnetons per cell) = 0.000
- offset from the most stable computed form (meV/atom) = 0
- energy of formation from the pure elements (eV/atom) = 0.293

Cell lengths 5.352, 5.352, 5.352 Å; angles 90.00, 90.00, 90.00 degrees
Fractional coordinates of all 5 atoms:
Bi: 0.000 0.500 0.000
Bi: 0.500 0.000 0.000
Bi: 0.000 0.000 0.500
Sn: 0.500 0.500 0.500
Rh: 0.000 0.000 0.000

4.
VASP calculation (PBE-GGA) on an optimized crystal structure of SnBi3Rh4.

Values from the calculation:
- size of the total moment (Bohr magnetons per cell) = 0.000
- energy of formation from the pure elements (eV/atom) = 0.041

Cell lengths 6.505, 6.505, 6.505 Å; angles 77.85, 128.64, 125.88 degrees
Fractional coordinates of all 8 atoms:
Rh: 0.530 0.230 0.301
Rh: 0.134 0.234 0.369
Rh: 0.071 0.770 0.301
Rh: 0.134 0.766 0.900
Bi: 0.624 0.296 0.920
Bi: 0.624 0.704 0.329
Bi: 0.864 0.000 0.864
Sn: 0.168 0.500 0.668

5.
VASP calculation (PBE-GGA) on an optimized crystal structure of Sn2Bi2Rh.

Values from the calculation:
- size of the total moment (Bohr magnetons per cell) = 0.000
- energy of formation from the pure elements (eV/atom) = 0.078

Cell lengths 6.986, 6.986, 5.396 Å; angles 90.00, 90.00, 90.00 degrees
Fractional coordinates of all 10 atoms:
Rh: 0.500 0.500 0.000
Rh: 0.000 0.000 0.000
Bi: 0.170 0.670 0.500
Bi: 0.830 0.330 0.500
Bi: 0.330 0.170 0.500
Bi: 0.670 0.830 0.500
Sn: 0.151 0.349 0.000
Sn: 0.849 0.651 0.000
Sn: 0.349 0.849 0.000
Sn: 0.651 0.151 0.000

6.
VASP calculation (PBE-GGA) on an optimized crystal structure of Sn2Bi2Rh3.

Values from the calculation:
- size of the total moment (Bohr magnetons per cell) = 0.000
- energy of formation from the pure elements (eV/atom) = -0.224

Cell lengths 4.256, 6.960, 5.850 Å; angles 96.57, 89.96, 107.81 degrees
Fractional coordinates of all 7 atoms:
Sn: 0.603 0.206 0.871
Sn: 0.397 0.794 0.129
Bi: 0.835 0.670 0.659
Bi: 0.165 0.330 0.341
Rh: 0.781 0.563 0.174
Rh: 0.219 0.437 0.826
Rh: 0.000 0.000 0.000